Record 1
Entry from the Alexandria database: LiBi2Te3 after structural relaxation (PBE).

Properties
Space-group type: P2_1/c
Formation energy without anion corrections: -351 meV/atom

a b c (Å): 6.5205 8.8268 13.5357
angles (deg): 90.00 90.00 91.29
Closest atoms and distances in Å follow each position.
Sites, in units of the cell vectors:
1 Te 0.7316 0.3753 0.0822  5 Bi 3.10-3.32
2 Te 0.2155 0.1187 0.9188  1 Li 2.93, 2 Bi 3.04-3.09
3 Te 0.2684 0.1247 0.5822  5 Bi 3.10-3.32
4 Te 0.7845 0.8813 0.0812  1 Li 2.93, 2 Bi 3.04-3.09
5 Te 0.2694 0.1282 0.2551  2 Li 2.92-2.93, 3 Bi 3.12-3.22
6 Te 0.2155 0.6187 0.5812  1 Li 2.93, 2 Bi 3.04-3.09
7 Te 0.7316 0.8753 0.4178  5 Bi 3.10-3.32
8 Te 0.2684 0.6247 0.9178  5 Bi 3.10-3.32
9 Te 0.7306 0.8718 0.7449  2 Li 2.92-2.93, 3 Bi 3.12-3.22
10 Te 0.7845 0.3813 0.4188  1 Li 2.93, 2 Bi 3.04-3.09
11 Te 0.7306 0.3718 0.7551  2 Li 2.92-2.93, 3 Bi 3.12-3.22
12 Te 0.2694 0.6282 0.2449  2 Li 2.92-2.93, 3 Bi 3.12-3.22
13 Li 0.2308 0.3849 0.3907  3 Te 2.92-2.93
14 Li 0.7692 0.6151 0.6093  3 Te 2.92-2.93
15 Li 0.2308 0.8849 0.1093  3 Te 2.92-2.93
16 Li 0.7692 0.1151 0.8907  3 Te 2.92-2.93
17 Bi 0.7535 0.6337 0.2373  6 Te 3.04-3.37
18 Bi 0.2465 0.8664 0.7373  6 Te 3.04-3.37
19 Bi 0.2404 0.8621 0.4171  6 Te 3.09-3.32
20 Bi 0.2404 0.3621 0.0829  6 Te 3.09-3.32
21 Bi 0.7535 0.1336 0.2627  6 Te 3.04-3.37
22 Bi 0.7596 0.6379 0.9171  6 Te 3.09-3.32
23 Bi 0.2465 0.3664 0.7627  6 Te 3.04-3.37
24 Bi 0.7596 0.1379 0.5829  6 Te 3.09-3.32


Record 2
Entry from the Alexandria database: K2GaSn after structural relaxation (PBE).

Properties
Formation enthalpy at 0 K: 0.56 eV per formula unit
Space-group type: Fm-3m

a b c (Å): 5.8289 5.8289 5.8289
angles (deg): 60.00 60.00 60.00
Closest atoms and distances in Å follow each position.
Sites, in units of the cell vectors:
1 K 0.2500 0.2500 0.2500  4 Sn 3.57, 4 Ga 3.57
2 K 0.7500 0.7500 0.7500  4 Sn 3.57, 4 Ga 3.57
3 Sn 0.5000 0.5000 0.5000  8 K 3.57
4 Ga 0.0000 0.0000 0.0000  8 K 3.57


Record 3
Entry from the Alexandria database: PrTm2In2 after structural relaxation (PBE).

Properties
Formation enthalpy at 0 K: -0.86 eV per formula unit
Space-group type: I4/mmm

a b c (Å): 4.6446 4.6446 14.5867
angles (deg): 99.16 99.16 90.00
Closest atoms and distances in Å follow each position.
Sites, in units of the cell vectors:
1 In 0.8241 0.8241 0.6482  5 Tm 2.93-3.14
2 In 0.0000 0.5000 0.0000  4 Tm 3.11, 4 In 3.28
3 In 0.5000 0.0000 0.0000  4 Tm 3.11, 4 In 3.28
4 In 0.1759 0.1759 0.3518  5 Tm 2.93-3.14
5 Pr 0.6325 0.6325 0.2649  4 In 3.51, 4 Tm 3.70
6 Pr 0.3675 0.3675 0.7351  4 In 3.51, 4 Tm 3.70
7 Tm 0.2500 0.7500 0.5000  4 In 3.14, 4 Tm 3.28
8 Tm 0.9273 0.9273 0.8547  5 In 2.93-3.11
9 Tm 0.7500 0.2500 0.5000  4 In 3.14, 4 Tm 3.28
10 Tm 0.0727 0.0727 0.1453  5 In 2.93-3.11


no.,Fermi-level density of states (states/eV per atom)
1,0.37
2,1.18
3,1.02